Entry 1:
VASP calculation (PBE-GGA) on a relaxed structure of In2GeI8.

Computed properties:
Mass density = 3.87 Mg/m³
Energy relative to the elements, uncorrected = -441 meV/atom

Cell: 8.957 8.957 7.213 Å, 95.17 95.17 79.94°
Fractional coordinates of all 11 atoms:
In  0.199  0.199  0.155
In  0.801  0.801  0.845
Ge  0.000  0.000  0.500
I  0.094  0.722  0.720
I  0.191  0.191  0.767
I  0.278  0.906  0.280
I  0.391  0.391  0.288
I  0.609  0.609  0.712
I  0.722  0.094  0.720
I  0.809  0.809  0.233
I  0.906  0.278  0.280

---

Entry 2:
VASP calculation (PBE-GGA) on a relaxed structure of Zr3Cu4Si4.

Computed properties:
Mass density = 6.38 Mg/m³
Energy relative to the elements, uncorrected = -585 meV/atom

Cell: 7.576 7.576 6.425 Å, 115.09 115.09 30.20°
Fractional coordinates of all 11 atoms:
Zr  0.000  0.000  0.000
Zr  0.124  0.124  0.624
Zr  0.876  0.876  0.376
Cu  0.330  0.330  0.639
Cu  0.331  0.331  0.023
Cu  0.669  0.669  0.977
Cu  0.670  0.670  0.361
Si  0.216  0.216  0.216
Si  0.500  0.500  0.309
Si  0.500  0.500  0.691
Si  0.784  0.784  0.784

---

Entry 3:
VASP calculation (PBE-GGA) on a relaxed structure of HfHgGe.

Computed properties:
ΔH_f (0 K) = -0.2430 eV per atom
Mass density = 10.41 Mg/m³

Cell: 3.758 3.758 10.207 Å, 90.00 90.00 90.00°
Fractional coordinates of all 6 atoms:
Hf  0.250  0.250  0.114
Hf  0.750  0.750  0.886
Hg  0.250  0.250  0.404
Hg  0.750  0.750  0.596
Ge  0.250  0.250  0.840
Ge  0.750  0.750  0.160